Dy2PuNpS4: optimized geometry, GGA-PBE.

The structure belongs to space group P2/m (No. 10); the cell edges are 6.749, 3.919 and 6.831 Å and the angles 90.00°, 109.58° and 90.00°. Symmetry generates all atoms from Dy at (0.000, 0.000, 0.000), Dy at (0.000, 0.500, 0.500), Pu at (0.500, 0.000, 0.500), Np at (0.500, 0.500, 0.000), S at (0.247, 0.500, 0.249) and S at (0.248, 0.000, 0.751).

The density is 9.111 g cm⁻³. The magnetization is 1.26 μB per formula unit. As for the calculated volume: 170.3 Å³/cell.

DyPu3Np4S8: optimized geometry, GGA-PBE.

The structure belongs to space group C2/m (No. 12); the cell edges are 13.543, 7.811 and 7.867 Å and the angles 90.00°, 125.12° and 90.00°. Symmetry generates all atoms from Dy at (0.000, 0.000, 0.000), Pu at (0.000, 0.500, 0.000), Pu at (0.250, 0.250, 0.000), Np at (0.000, 0.000, 0.500), Np at (0.000, 0.500, 0.500), Np at (0.250, 0.250, 0.500), S at (0.000, 0.248, 0.249), S at (0.249, 0.000, 0.751) and S at (0.250, 0.000, 0.253).

The density is 10.242 g cm⁻³. The magnetization is 7.80 μB per formula unit. As for the calculated volume: 680.6 Å³/cell.

DyPu2NpS4: optimized geometry, GGA-PBE.

The structure belongs to space group P2/m (No. 10); the cell edges are 6.792, 3.934 and 6.815 Å and the angles 90.00°, 109.47° and 90.00°. Symmetry generates all atoms from Dy at (0.000, 0.000, 0.000), Pu at (0.000, 0.500, 0.500), Pu at (0.500, 0.000, 0.500), Np at (0.500, 0.500, 0.000), S at (0.250, 0.500, 0.248) and S at (0.252, 0.000, 0.752).

The density is 9.824 g cm⁻³. The magnetization is 15.39 μB per formula unit. As for the calculated volume: 171.7 Å³/cell.

Dy2PuNpSb4: optimized geometry, GGA-PBE.

The structure belongs to space group P2/m (No. 10); the cell edges are 7.616, 4.396 and 7.618 Å and the angles 90.00°, 109.42° and 90.00°. Symmetry generates all atoms from Dy at (0.000, 0.000, 0.000), Dy at (0.000, 0.500, 0.500), Pu at (0.500, 0.000, 0.500), Np at (0.500, 0.500, 0.000), Sb at (0.249, 0.000, 0.751) and Sb at (0.250, 0.500, 0.249).

The density is 8.926 g cm⁻³. The magnetization is 8.96 μB per formula unit. As for the calculated volume: 240.5 Å³/cell.

DyPuNp2Sb4: optimized geometry, GGA-PBE.

The structure belongs to space group P2/m (No. 10); the cell edges are 7.574, 4.383 and 7.695 Å and the angles 90.00°, 109.21° and 90.00°. Symmetry generates all atoms from Dy at (0.000, 0.000, 0.000), Pu at (0.500, 0.500, 0.000), Np at (0.000, 0.500, 0.500), Np at (0.500, 0.000, 0.500), Sb at (0.248, 0.000, 0.749) and Sb at (0.249, 0.500, 0.251).

The density is 9.414 g cm⁻³. The magnetization is 2.47 μB per formula unit. As for the calculated volume: 241.2 Å³/cell.

Dy2Pu3NpSe6: optimized geometry, GGA-PBE.

The structure belongs to space group C2/m (No. 12); the cell edges are 18.017, 4.099 and 8.208 Å and the angles 90.00°, 103.23° and 90.00°. Symmetry generates all atoms from Dy at (0.165, 0.000, 0.332), Pu at (0.000, 0.500, 0.500), Pu at (0.167, 0.000, 0.834), Np at (0.000, 0.500, 0.000), Se at (0.001, 0.000, 0.249), Se at (0.168, 0.500, 0.087) and Se at (0.169, 0.500, 0.581).

The density is 9.950 g cm⁻³. The magnetization is 1.30 μB per formula unit. As for the calculated volume: 590.0 Å³/cell.

Rb2Dy2NpS6: optimized geometry, GGA-PBE.

The structure belongs to space group C2/m (No. 12); the cell edges are 6.984, 12.077 and 8.211 Å and the angles 90.00°, 106.79° and 90.00°. Symmetry generates all atoms from Rb at (0.000, 0.169, 0.000), Dy at (0.000, 0.334, 0.500), Np at (0.000, 0.000, 0.500), S at (0.226, 0.165, 0.686) and S at (0.237, 0.500, 0.685).

The density is 4.635 g cm⁻³. The magnetization is 3.00 μB per formula unit. As for the calculated volume: 663.0 Å³/cell.

Rb3Dy2NpS6: optimized geometry, GGA-PBE.

The structure belongs to space group C2/m (No. 12); the cell edges are 7.119, 12.317 and 8.041 Å and the angles 90.00°, 107.11° and 90.00°. Symmetry generates all atoms from Rb at (0.000, 0.000, 0.000), Rb at (0.000, 0.333, 0.000), Dy at (0.000, 0.166, 0.500), Np at (0.000, 0.500, 0.500), S at (0.228, 0.000, 0.693) and S at (0.232, 0.332, 0.692).

The density is 4.982 g cm⁻³. The magnetization is 4.00 μB per formula unit. As for the calculated volume: 673.8 Å³/cell.

Rb4DyNp3S8: optimized geometry, GGA-PBE.

The structure belongs to space group R-3m (No. 166, hexagonal axes); the cell edges are 8.2365, 8.2365 and 23.0120 Å and the angles 90.00°, 90.00° and 120.00°. Symmetry generates all atoms from Rb at (0.0000, 0.0000, 0.0000), Rb at (0.0000, 0.5000, 0.0000), Dy at (0.0000, 0.0000, 0.5000), Np at (0.0000, 0.5000, 0.5000), S at (0.0000, 0.0000, 0.2294) and S at (0.0019, 0.5009, 0.2306).

The density is 5.424 g cm⁻³. The magnetization is 12.00 μB per formula unit. As for the calculated volume: 1352.0 Å³/cell.

Rb4Dy3NpS8: optimized geometry, GGA-PBE.

The structure belongs to space group R-3m (No. 166, hexagonal axes); the cell edges are 8.2014, 8.2014 and 23.0431 Å and the angles 90.00°, 90.00° and 120.00°. Symmetry generates all atoms from Rb at (0.0000, 0.0000, 0.0000), Rb at (0.0000, 0.5000, 0.0000), Dy at (0.0000, 0.5000, 0.5000), Np at (0.0000, 0.0000, 0.5000), S at (0.0000, 0.0000, 0.2307) and S at (0.0033, 0.5016, 0.7694).

The density is 4.910 g cm⁻³. The magnetization is 4.00 μB per formula unit. As for the calculated volume: 1342.3 Å³/cell.

Rb2DyNp2S6: optimized geometry, GGA-PBE.

The structure belongs to space group C2/m (No. 12); the cell edges are 6.988, 12.124 and 8.173 Å and the angles 90.00°, 106.31° and 90.00°. Symmetry generates all atoms from Rb at (0.000, 0.166, 0.000), Dy at (0.000, 0.000, 0.500), Np at (0.000, 0.334, 0.500), S at (0.226, 0.500, 0.685) and S at (0.228, 0.169, 0.684).

The density is 4.996 g cm⁻³. The magnetization is 7.00 μB per formula unit. As for the calculated volume: 664.7 Å³/cell.

Rb2DyNp2Se6: optimized geometry, GGA-PBE.

The structure belongs to space group C2/m (No. 12); the cell edges are 7.262, 12.590 and 8.518 Å and the angles 90.00°, 106.32° and 90.00°. Symmetry generates all atoms from Rb at (0.000, 0.166, 0.000), Dy at (0.000, 0.000, 0.500), Np at (0.000, 0.334, 0.500), Se at (0.228, 0.500, 0.691) and Se at (0.230, 0.168, 0.690).

The density is 5.693 g cm⁻³. The magnetization is 7.00 μB per formula unit. As for the calculated volume: 747.4 Å³/cell.

Rb4DyNp3Se8: optimized geometry, GGA-PBE.

The structure belongs to space group R-3m (No. 166, hexagonal axes); the cell edges are 8.5866, 8.5866 and 23.9389 Å and the angles 90.00°, 90.00° and 120.00°. Symmetry generates all atoms from Rb at (0.0000, 0.0000, 0.0000), Rb at (0.0000, 0.5000, 0.0000), Dy at (0.0000, 0.0000, 0.5000), Np at (0.0000, 0.5000, 0.5000), Se at (0.0000, 0.0000, 0.2314) and Se at (0.0032, 0.5016, 0.2320).

The density is 6.020 g cm⁻³. The magnetization is 12.00 μB per formula unit. As for the calculated volume: 1528.6 Å³/cell.

Rb3Dy3NpSe8: optimized geometry, GGA-PBE.

The structure belongs to space group R-3m (No. 166, hexagonal axes); the cell edges are 8.4009, 8.4009 and 24.4165 Å and the angles 90.00°, 90.00° and 120.00°. Symmetry generates all atoms from Rb at (0.0000, 0.5000, 0.0000), Dy at (0.0000, 0.5000, 0.5000), Np at (0.0000, 0.0000, 0.5000), Se at (0.0000, 0.0000, 0.2314) and Se at (0.0034, 0.5017, 0.2303).

The density is 5.383 g cm⁻³. The magnetization is 3.00 μB per formula unit. As for the calculated volume: 1492.3 Å³/cell.

Rb2Dy2NpSe6: optimized geometry, GGA-PBE.

The structure belongs to space group C2/m (No. 12); the cell edges are 7.242, 12.534 and 8.555 Å and the angles 90.00°, 106.68° and 90.00°. Symmetry generates all atoms from Rb at (0.000, 0.168, 0.000), Dy at (0.000, 0.333, 0.500), Np at (0.000, 0.000, 0.500), Se at (0.229, 0.165, 0.691) and Se at (0.236, 0.500, 0.691).

The density is 5.387 g cm⁻³. The magnetization is 3.00 μB per formula unit. As for the calculated volume: 743.9 Å³/cell.

Rb4Dy3NpTe8: optimized geometry, GGA-PBE.

The structure belongs to space group R-3m (No. 166, hexagonal axes); the cell edges are 9.1008, 9.1008 and 25.6551 Å and the angles 90.00°, 90.00° and 120.00°. Symmetry generates all atoms from Rb at (0.0000, 0.0000, 0.0000), Rb at (0.0000, 0.5000, 0.0000), Dy at (0.0000, 0.5000, 0.5000), Np at (0.0000, 0.0000, 0.5000), Te at (0.0000, 0.0000, 0.2329) and Te at (0.0045, 0.5022, 0.7667).

The density is 5.651 g cm⁻³. The magnetization is 4.00 μB per formula unit. As for the calculated volume: 1840.0 Å³/cell.

Rb3Dy3NpTe8: optimized geometry, GGA-PBE.

The structure belongs to space group R-3m (No. 166, hexagonal axes); the cell edges are 8.9408, 8.9408 and 26.1565 Å and the angles 90.00°, 90.00° and 120.00°. Symmetry generates all atoms from Rb at (0.0000, 0.5000, 0.0000), Dy at (0.0000, 0.5000, 0.5000), Np at (0.0000, 0.0000, 0.5000), Te at (0.0000, 0.0000, 0.2330) and Te at (0.0008, 0.5004, 0.2322).

The density is 5.507 g cm⁻³. The magnetization is 2.99 μB per formula unit. As for the calculated volume: 1810.7 Å³/cell.

Rb2DyNp2Te6: optimized geometry, GGA-PBE.

The structure belongs to space group C2/m (No. 12); the cell edges are 7.749, 13.420 and 9.124 Å and the angles 90.00°, 106.37° and 90.00°. Symmetry generates all atoms from Rb at (0.000, 0.166, 0.000), Dy at (0.000, 0.000, 0.500), Np at (0.000, 0.333, 0.500), Te at (0.231, 0.500, 0.696) and Te at (0.233, 0.166, 0.697).

The density is 5.739 g cm⁻³. The magnetization is 7.00 μB per formula unit. As for the calculated volume: 910.4 Å³/cell.

Rb2DyNpTe4: optimized geometry, GGA-PBE.

The structure belongs to space group P2/m (No. 10); the cell edges are 7.938, 4.564 and 8.922 Å and the angles 90.00°, 107.19° and 90.00°. Symmetry generates all atoms from Rb at (0.000, 0.000, 0.000), Rb at (0.500, 0.500, 0.000), Dy at (0.000, 0.500, 0.500), Np at (0.500, 0.000, 0.500), Te at (0.229, 0.000, 0.700) and Te at (0.263, 0.500, 0.300).

The density is 5.812 g cm⁻³. The magnetization is 4.00 μB per formula unit. As for the calculated volume: 308.8 Å³/cell.

Rb3Dy2NpTe6: optimized geometry, GGA-PBE.

The structure belongs to space group C2/m (No. 12); the cell edges are 7.906, 13.706 and 8.922 Å and the angles 90.00°, 107.21° and 90.00°. Symmetry generates all atoms from Rb at (0.000, 0.000, 0.000), Rb at (0.000, 0.334, 0.000), Dy at (0.000, 0.167, 0.500), Np at (0.000, 0.500, 0.500), Te at (0.228, 0.000, 0.699) and Te at (0.236, 0.331, 0.700).

The density is 5.696 g cm⁻³. The magnetization is 4.00 μB per formula unit. As for the calculated volume: 923.5 Å³/cell.

Number 1: E_tot -8.41 eV/atom. Number 2: E_tot -9.85 eV/atom. Number 3: E_tot -9.57 eV/atom. Number 4: E_tot -7.38 eV/atom. Number 5: E_tot -8.17 eV/atom. Number 6: E_tot -8.71 eV/atom. Number 7: E_tot -6.15 eV/atom. Number 8: E_tot -5.83 eV/atom. Number 9: E_tot -6.50 eV/atom. Number 10: E_tot -5.70 eV/atom. Number 11: E_tot -6.76 eV/atom. Number 12: E_tot -6.25 eV/atom. Number 13: E_tot -6.05 eV/atom. Number 14: E_tot -5.45 eV/atom. Number 15: E_tot -5.66 eV/atom. Number 16: E_tot -4.74 eV/atom. Number 17: E_tot -4.88 eV/atom. Number 18: E_tot -5.66 eV/atom. Number 19: E_tot -5.13 eV/atom. Number 20: E_tot -4.87 eV/atom.